Ac8PrNd6 | PBE-GGA | relaxed

POSCAR file:
```
Ac8PrNd6
1.0
-7.515 4.676 -2.789
-7.898 -3.149 3.720
-3.496 5.598 6.524
Ac Nd Pr
8 6 1
Direct
0.412 0.137 0.822
0.863 0.178 0.588
0.178 0.588 0.863
0.588 0.863 0.178
0.822 0.412 0.137
0.266 0.266 0.266
0.137 0.822 0.412
0.734 0.734 0.734
0.677 0.064 0.372
0.323 0.936 0.628
0.372 0.677 0.064
0.064 0.372 0.677
0.628 0.323 0.936
0.936 0.628 0.323
0.000 0.000 0.000
```

raw total energy: -4.193 eV per atom